Cs2MnOF after structural relaxation. Source: Alexandria via LeMat-Bulk, functional PBE with a Hubbard U.

Lattice parameters (Å, degrees): 6.6051 6.6051 3.7741 90.00 90.00 90.00
Last column: nearest neighbours and their distance in Å.
Element x y z (fractional)
Cs (0.0000, 0.5000, 0.0000)  2 Mn 3.30
Cs (0.5000, 0.0000, 0.0000)  2 Mn 3.30
Mn (0.0000, 0.0000, 0.0000)  2 O 1.89
O (0.0000, 0.0000, 0.5000)  2 Mn 1.89
F (0.5000, 0.5000, 0.5000)  2 F 3.77, 8 Cs 3.80

Total magnetization: 4.009 μB/cell
VASP energy: -0.3226 Ry/atom
SG: No. 123
Theoretical density: 3.59 Mg/m³